This record from Alexandria describes a geometry-optimized Ho2Al3Ag5 structure. The functional is GGA-PBE.

Lattice parameters (Å, degrees): 4.551 25.136 6.945 90.00 90.00 90.00
Space group Cmc2_1 (No. 36)
Unique sites:
Ho1 0.000 0.014 0.000 (multiplicity 4)
Ho2 0.000 0.325 0.977 (multiplicity 4)
Al1 0.000 0.104 0.303 (multiplicity 4)
Al2 0.000 0.272 0.437 (multiplicity 4)
Al3 0.000 0.446 0.201 (multiplicity 4)
Ag1 0.000 0.106 0.701 (multiplicity 4)
Ag2 0.000 0.200 0.149 (multiplicity 4)
Ag3 0.000 0.217 0.746 (multiplicity 4)
Ag4 0.000 0.376 0.498 (multiplicity 4)
Ag5 0.000 0.451 0.803 (multiplicity 4)

ΔH_f (0 K) = -252 kJ/mol of formula units
total magnetization = 0.00 μB/f.u.
offset from the most stable computed form = 0 meV/atom
DOS at the Fermi energy = 17.565 states/eV/cell

=====

This record from Alexandria describes a geometry-optimized Ho4Al12Ag structure. The functional is GGA-PBE.

Lattice parameters (Å, degrees): 8.681 8.681 8.681 90.00 90.00 90.00
Space group Im-3m (No. 229)
Unique sites:
Ho1 0.250 0.250 0.250 (multiplicity 8)
Al1 0.000 0.000 0.302 (multiplicity 12)
Al2 0.000 0.250 0.500 (multiplicity 12)
Ag1 0.000 0.000 0.000 (multiplicity 2)

ΔH_f (0 K) = -681 kJ/mol of formula units
total magnetization = 0.00 μB/f.u.
DOS at the Fermi energy = 5.581 states/eV/cell

=====

This record from Alexandria describes a geometry-optimized Ho3Al2Ag4 structure. The functional is GGA-PBE.

Lattice parameters (Å, degrees): 10.756 4.625 8.775 90.00 116.30 90.00
Space group C2/m (No. 12)
Unique sites:
Ho1 0.000 0.000 0.000 (multiplicity 2)
Ho2 0.153 0.500 0.680 (multiplicity 4)
Al1 0.137 0.500 0.307 (multiplicity 4)
Ag1 0.081 0.000 0.406 (multiplicity 4)
Ag2 0.214 0.500 0.062 (multiplicity 4)

ΔH_f (0 K) = -298 kJ/mol of formula units
total magnetization = 0.00 μB/f.u.
DOS at the Fermi energy = 12.704 states/eV/cell

=====

This record from Alexandria describes a geometry-optimized Ho2Al5Ag5 structure. The functional is GGA-PBE.

Lattice parameters (Å, degrees): 4.445 5.427 9.511 90.00 90.00 90.00
Space group Pmmm (No. 47)
Unique sites:
Ho1 0.000 0.000 0.000 (multiplicity 1)
Ho2 0.000 0.500 0.500 (multiplicity 1)
Al1 0.500 0.000 0.500 (multiplicity 1)
Al2 0.500 0.248 0.244 (multiplicity 4)
Ag1 0.000 0.000 0.335 (multiplicity 2)
Ag2 0.000 0.500 0.180 (multiplicity 2)
Ag3 0.500 0.500 0.000 (multiplicity 1)

ΔH_f (0 K) = -355 kJ/mol of formula units
total magnetization = 0.00 μB/f.u.
DOS at the Fermi energy = 2.678 states/eV/cell